GGA-PBE TlW2Br, relaxed; Fermi-level density of states = 0.627 states/eV/atom; volume = 77 Å³/f.u.; E_form (uncorrected) = 1.4003 eV/atom; relative energy among the computed polymorphs = 954 meV per atom
1.0
-0.0314 -1.1869 -4.6359
3.2705 -3.0450 -1.7125
-1.3010 -4.4083 -1.3325
W Br Tl
2 1 1
direct
0.2500 0.2500 0.2500
0.0000 0.0000 0.0000
0.5000 0.5000 0.5000
0.7500 0.7500 0.7500